(1)
Entry from Alexandria via LeMat-Bulk: a relaxed Pr8TlSb5 crystal (GGA-PBE).

Results
The space group is I-4. For the energy relative to the elements, uncorrected, the calculation gives -0.9471 eV per atom. As for the size of the total moment: 0.00 μB/cell.

Cell: 8.3235 8.3235 8.3235 Å, 109.59 109.23 109.59°
Fractional coordinates of all 14 atoms:
Pr 0.1264 0.7561 0.0196
Pr 0.9804 0.1068 0.7365
Pr 0.7626 0.2466 0.3704
Pr 0.6296 0.3923 0.8762
Pr 0.4839 0.6077 0.2374
Pr 0.6297 0.8932 0.8736
Pr 0.2635 0.2439 0.3703
Pr 0.1238 0.7534 0.5161
Tl 0.2500 0.5000 0.7500
Sb 0.0018 0.3775 0.1284
Sb 0.8716 0.8734 0.2491
Sb 0.7509 0.6225 0.6243
Sb 0.5000 0.0000 0.5000
Sb 0.3757 0.1266 0.9982

=====

(2)
Entry from Alexandria via LeMat-Bulk: a relaxed Pr6Tl2Sb crystal (GGA-PBE).

Results
The space group is P-62m. For the energy relative to the elements, uncorrected, the calculation gives -0.4484 eV per atom. As for the size of the total moment: 0.02 μB/cell.

Cell: 4.3219 8.8507 8.8508 Å, 120.00 90.00 90.00°
Fractional coordinates of all 9 atoms:
Pr 0.5000 0.6052 0.0000
Pr 0.5000 0.3948 0.3948
Pr 0.5000 0.0000 0.6052
Pr 0.0000 0.2737 0.0000
Pr 0.0000 0.7264 0.7264
Pr 0.0000 0.9999 0.2736
Tl 0.0000 0.3333 0.6666
Tl 0.0000 0.6667 0.3334
Sb 0.5000 0.0001 0.0000

=====

(3)
Entry from Alexandria via LeMat-Bulk: a relaxed Pr4TlSb5 crystal (GGA-PBE).

Results
The space group is Immm. For the energy relative to the elements, uncorrected, the calculation gives -0.8184 eV per atom. As for the size of the total moment: 0.00 μB/cell.

Cell: 4.3999 8.7607 8.7607 Å, 81.66 75.46 75.46°
Fractional coordinates of all 10 atoms:
Pr 0.2500 0.2922 0.7078
Pr 0.9943 0.2557 0.2557
Pr 0.5057 0.7443 0.7443
Pr 0.2500 0.7078 0.2922
Tl 0.2500 0.0000 0.0000
Sb 0.5828 0.3464 0.9881
Sb 0.9172 0.0119 0.6536
Sb 0.7500 0.5000 0.5000
Sb 0.5828 0.9881 0.3464
Sb 0.9172 0.6536 0.0119

=====

(4)
Entry from Alexandria via LeMat-Bulk: a relaxed Pr8TmSb6 crystal (GGA-PBE).

Results
The space group is R-3. For the energy relative to the elements, uncorrected, the calculation gives -0.8035 eV per atom. As for the size of the total moment: 0.00 μB/cell.

Cell: 8.2381 8.2381 9.8891 Å, 65.38 65.38 60.00°
Fractional coordinates of all 15 atoms:
Pr 0.5370 0.2188 0.3631
Pr 0.7812 0.1190 0.6369
Pr 0.1190 0.4630 0.6369
Pr 0.6667 0.6667 0.9998
Pr 0.3333 0.3333 0.0002
Pr 0.8810 0.5370 0.3631
Pr 0.2188 0.8810 0.3631
Pr 0.4630 0.7812 0.6369
Tm 0.0000 0.0000 0.0000
Sb 0.3881 0.0667 0.8037
Sb 0.9333 0.2584 0.1963
Sb 0.2584 0.6119 0.1963
Sb 0.7416 0.3881 0.8037
Sb 0.0667 0.7416 0.8037
Sb 0.6119 0.9333 0.1963

=====

(5)
Entry from Alexandria via LeMat-Bulk: a relaxed Pr5Tm3Sb8 crystal (GGA-PBE).

Results
The space group is R-3m. For the energy relative to the elements, uncorrected, the calculation gives -1.1337 eV per atom. As for the size of the total moment: 0.00 μB/cell.

Cell: 8.9606 8.9606 8.9507 Å, 59.96 59.96 60.00°
Fractional coordinates of all 16 atoms:
Pr 0.5000 0.0000 0.0000
Pr 0.5000 0.5000 0.0000
Pr 0.0000 0.0000 0.0000
Pr 0.0000 0.5000 0.0000
Pr 0.5000 0.5000 0.5000
Tm 0.5000 0.0000 0.5000
Tm 0.0000 0.0000 0.5000
Tm 0.0000 0.5000 0.5000
Sb 0.2500 0.2500 0.7403
Sb 0.2500 0.7597 0.7403
Sb 0.7597 0.2500 0.7403
Sb 0.7548 0.7548 0.7356
Sb 0.7500 0.7500 0.2597
Sb 0.7500 0.2403 0.2597
Sb 0.2403 0.7500 0.2597
Sb 0.2452 0.2452 0.2644

=====

(6)
Entry from Alexandria via LeMat-Bulk: a relaxed PrTm4Sb5 crystal (GGA-PBE).

Results
The space group is Immm. For the energy relative to the elements, uncorrected, the calculation gives -1.0808 eV per atom. As for the size of the total moment: 0.00 μB/cell.

Cell: 4.3808 6.2066 11.5898 Å, 105.53 100.89 90.00°
Fractional coordinates of all 10 atoms:
Pr 0.0000 0.0000 0.0000
Tm 0.3997 0.3997 0.7994
Tm 0.7973 0.7973 0.5945
Tm 0.2027 0.2027 0.4055
Tm 0.6003 0.6003 0.2006
Sb 0.6054 0.1054 0.2108
Sb 0.8010 0.3010 0.6020
Sb 0.1990 0.6990 0.3980
Sb 0.0000 0.5000 0.0000
Sb 0.3946 0.8946 0.7892

=====

(7)
Entry from Alexandria via LeMat-Bulk: a relaxed Pr3TmSb3 crystal (GGA-PBE).

Results
The space group is P2_13. For the energy relative to the elements, uncorrected, the calculation gives -1.0147 eV per atom. As for the size of the total moment: 0.00 μB/cell.

Cell: 9.4714 9.4714 9.4714 Å, 90.00 90.00 90.00°
Fractional coordinates of all 28 atoms:
Pr 0.8241 0.3241 0.1759
Pr 0.9342 0.9342 0.9342
Pr 0.8204 0.6796 0.3204
Pr 0.1759 0.8241 0.3241
Pr 0.1796 0.1796 0.1796
Pr 0.3204 0.8204 0.6796
Pr 0.0658 0.4342 0.5658
Pr 0.3241 0.1759 0.8241
Pr 0.6796 0.3204 0.8204
Pr 0.6759 0.6759 0.6759
Pr 0.5658 0.0658 0.4342
Pr 0.4342 0.5658 0.0658
Tm 0.0727 0.5727 0.9273
Tm 0.9273 0.0727 0.5727
Tm 0.4273 0.4273 0.4273
Tm 0.5727 0.9273 0.0727
Sb 0.7588 0.6295 0.9969
Sb 0.8705 0.0031 0.2588
Sb 0.9969 0.7588 0.6295
Sb 0.1295 0.5031 0.2412
Sb 0.2412 0.1295 0.5031
Sb 0.2588 0.8705 0.0031
Sb 0.0031 0.2588 0.8705
Sb 0.3705 0.4969 0.7412
Sb 0.5031 0.2412 0.1295
Sb 0.6295 0.9969 0.7588
Sb 0.7412 0.3705 0.4969
Sb 0.4969 0.7412 0.3705

=====

(8)
Entry from Alexandria via LeMat-Bulk: a relaxed Pr2TmSb crystal (GGA-PBE).

Results
The space group is P4/mmm. The calculation puts the energy relative to the lowest polymorph listed for this composition at 0 meV/atom. For the energy relative to the elements, uncorrected, the calculation gives -0.5035 eV per atom. As for the size of the total moment: 0.00 μB/cell.

Cell: 4.9313 4.8811 4.8811 Å, 90.00 90.00 90.00°
Fractional coordinates of all 4 atoms:
Pr 0.0000 0.0000 0.5000
Pr 0.0000 0.5000 0.0000
Sb 0.5000 0.0000 0.0000
Tm 0.5000 0.5000 0.5000